First-principles (PBE) data for crystalline LiZrCu at its relaxed geometry, as listed in Alexandria via LeMat-Bulk.

Unit cell a=3.0314 b=3.0314 c=11.5819 alpha=97.52 beta=97.52 gamma=90.00
With the nearest neighbours (Å) after each atom.
Sites, in units of the cell vectors:
Cu 0.1466 0.1466 0.2933  4 Li 2.59, 4 Zr 2.77
Cu 0.8534 0.8534 0.7067  4 Li 2.59, 4 Zr 2.77
Li 0.2896 0.2896 0.5792  4 Cu 2.59, 4 Li 2.80
Zr 0.5694 0.5694 0.1389  4 Cu 2.77, 4 Zr 3.03
Li 0.7104 0.7104 0.4208  4 Cu 2.59, 4 Li 2.80
Zr 0.4306 0.4306 0.8611  4 Cu 2.77, 4 Zr 3.03

Output
**Total energy**: -4.730 eV per atom
**Size of the total moment**: 0.0 μB/cell

First-principles (PBE) data for crystalline Li2ZrCu2 at its relaxed geometry, as listed in Alexandria via LeMat-Bulk.

Unit cell a=7.4114 b=7.4114 c=2.6958 alpha=90.00 beta=90.00 gamma=90.00
With the nearest neighbours (Å) after each atom.
Sites, in units of the cell vectors:
Li 0.1137 0.3863 0.0000  1 Li 2.38, 6 Cu 2.49-2.66
Cu 0.3133 0.1867 0.5000  6 Li 2.49-2.66, 2 Cu 2.70
Li 0.6137 0.1137 0.0000  1 Li 2.38, 6 Cu 2.49-2.66
Zr 0.5000 0.5000 0.0000  2 Zr 2.70, 4 Li 2.98
Li 0.3863 0.8863 0.0000  1 Li 2.38, 6 Cu 2.49-2.66
Cu 0.8133 0.3133 0.5000  6 Li 2.49-2.66, 2 Cu 2.70
Li 0.8863 0.6137 0.0000  1 Li 2.38, 6 Cu 2.49-2.66
Zr 0.0000 0.0000 0.0000  2 Zr 2.70, 4 Li 2.98
Cu 0.1867 0.6867 0.5000  6 Li 2.49-2.66, 2 Cu 2.70
Cu 0.6867 0.8133 0.5000  6 Li 2.49-2.66, 2 Cu 2.70

Output
**Total energy**: -4.099 eV per atom
**Size of the total moment**: 0.0 μB/cell

Number 1: ΔE to the lowest computed polymorph 0.061 eV per atom. Number 2: ΔE to the lowest computed polymorph 0.000 eV per atom.